Record 1
A relaxed PmNd2Sb crystal. Source: Alexandria via LeMat-Bulk, functional GGA-PBE.

```
data_PmNd2Sb
_cell_length_a 4.136
_cell_length_b 4.136
_cell_length_c 10.013
_cell_angle_alpha 78.08
_cell_angle_beta 78.08
_cell_angle_gamma 60.00
_symmetry_space_group_name_H-M 'P 1'
_symmetry_Int_Tables_number 1
_symmetry_space_group_name_Hall 'P 1'
loop_
_atom_site_label
_atom_site_type_symbol
_atom_site_fract_x
_atom_site_fract_y
_atom_site_fract_z
Pm1 Pm 0.500 0.500 0.500
Nd1 Nd 0.068 0.068 0.796
Nd2 Nd 0.266 0.266 0.203
Sb1 Sb 0.667 0.667 0.000
```

Properties
- energy (eV for the cell shown) = -19.865
- Fermi-level density of states (states/eV/cell) = 5.04
- raw formation energy (eV/atom) = -0.364
- V (Å³ per atom) = 36.02

Record 2
A relaxed PmNd3Sb2 crystal. Source: Alexandria via LeMat-Bulk, functional GGA-PBE.

```
data_PmNd3Sb2
_cell_length_a 4.595
_cell_length_b 4.595
_cell_length_c 8.859
_cell_angle_alpha 90.00
_cell_angle_beta 90.00
_cell_angle_gamma 90.00
_symmetry_space_group_name_H-M 'P 1'
_symmetry_Int_Tables_number 1
_symmetry_space_group_name_Hall 'P 1'
loop_
_atom_site_label
_atom_site_type_symbol
_atom_site_fract_x
_atom_site_fract_y
_atom_site_fract_z
Pm1 Pm 0.500 0.500 0.000
Nd1 Nd 0.500 0.000 0.356
Nd2 Nd 0.000 0.500 0.644
Nd3 Nd 0.000 0.000 0.000
Sb1 Sb 0.500 0.000 0.722
Sb2 Sb 0.000 0.500 0.278
```

Properties
- energy (eV for the cell shown) = -32.264
- Fermi-level density of states (states/eV/cell) = 5.70
- raw formation energy (eV/atom) = -0.827
- V (Å³ per atom) = 31.17

Record 3
A relaxed Pm5Nd2Sb5 crystal. Source: Alexandria via LeMat-Bulk, functional GGA-PBE.

```
data_Pm5Nd2Sb5
_cell_length_a 4.437
_cell_length_b 7.589
_cell_length_c 13.040
_cell_angle_alpha 106.55
_cell_angle_beta 90.00
_cell_angle_gamma 107.00
_symmetry_space_group_name_H-M 'P 1'
_symmetry_Int_Tables_number 1
_symmetry_space_group_name_Hall 'P 1'
loop_
_atom_site_label
_atom_site_type_symbol
_atom_site_fract_x
_atom_site_fract_y
_atom_site_fract_z
Pm1 Pm 0.500 0.000 0.500
Pm2 Pm 0.659 0.317 0.042
Pm3 Pm 0.728 0.457 0.347
Pm4 Pm 0.272 0.543 0.653
Pm5 Pm 0.341 0.683 0.958
Nd1 Nd 0.037 0.075 0.782
Nd2 Nd 0.963 0.925 0.218
Sb1 Sb 0.122 0.244 0.433
Sb2 Sb 0.696 0.392 0.799
Sb3 Sb 0.304 0.608 0.201
Sb4 Sb 0.878 0.756 0.567
Sb5 Sb 0.000 0.000 0.000
```

Properties
- energy (eV for the cell shown) = -64.782
- Fermi-level density of states (states/eV/cell) = 10.17
- raw formation energy (eV/atom) = -0.907
- V (Å³ per atom) = 33.41

Record 4
A relaxed PmNd8Sb6 crystal. Source: Alexandria via LeMat-Bulk, functional GGA-PBE.

```
data_PmNd8Sb6
_cell_length_a 8.258
_cell_length_b 8.258
_cell_length_c 9.811
_cell_angle_alpha 65.11
_cell_angle_beta 65.11
_cell_angle_gamma 60.00
_symmetry_space_group_name_H-M 'P 1'
_symmetry_Int_Tables_number 1
_symmetry_space_group_name_Hall 'P 1'
loop_
_atom_site_label
_atom_site_type_symbol
_atom_site_fract_x
_atom_site_fract_y
_atom_site_fract_z
Pm1 Pm 0.000 0.000 0.000
Nd1 Nd 0.544 0.213 0.365
Nd2 Nd 0.787 0.121 0.635
Nd3 Nd 0.121 0.456 0.635
Nd4 Nd 0.667 0.667 0.000
Nd5 Nd 0.333 0.333 0.000
Nd6 Nd 0.879 0.544 0.365
Nd7 Nd 0.213 0.879 0.365
Nd8 Nd 0.456 0.787 0.635
Sb1 Sb 0.399 0.067 0.798
Sb2 Sb 0.933 0.265 0.202
Sb3 Sb 0.265 0.601 0.202
Sb4 Sb 0.735 0.399 0.798
Sb5 Sb 0.067 0.735 0.798
Sb6 Sb 0.601 0.933 0.202
```

Properties
- energy (eV for the cell shown) = -80.043
- Fermi-level density of states (states/eV/cell) = 16.52
- raw formation energy (eV/atom) = -0.828
- V (Å³ per atom) = 33.76

Record 5
A relaxed PmNd5Sb5 crystal. Source: Alexandria via LeMat-Bulk, functional GGA-PBE.

```
data_PmNd5Sb5
_cell_length_a 6.345
_cell_length_b 7.752
_cell_length_c 8.958
_cell_angle_alpha 106.82
_cell_angle_beta 90.00
_cell_angle_gamma 114.16
_symmetry_space_group_name_H-M 'P 1'
_symmetry_Int_Tables_number 1
_symmetry_space_group_name_Hall 'P 1'
loop_
_atom_site_label
_atom_site_type_symbol
_atom_site_fract_x
_atom_site_fract_y
_atom_site_fract_z
Pm1 Pm 0.000 0.000 0.000
Nd1 Nd 0.669 0.337 0.332
Nd2 Nd 0.666 0.333 0.834
Nd3 Nd 0.000 0.000 0.500
Nd4 Nd 0.334 0.667 0.166
Nd5 Nd 0.331 0.663 0.668
Sb1 Sb 0.833 0.666 0.167
Sb2 Sb 0.834 0.667 0.666
Sb3 Sb 0.500 0.000 0.000
Sb4 Sb 0.166 0.333 0.334
Sb5 Sb 0.167 0.334 0.833
```

Properties
- energy (eV for the cell shown) = -60.264
- Fermi-level density of states (states/eV/cell) = 7.09
- raw formation energy (eV/atom) = -1.006
- V (Å³ per atom) = 34.66

Record 6
A relaxed Pm3NdSb4 crystal. Source: Alexandria via LeMat-Bulk, functional GGA-PBE.

```
data_Pm3NdSb4
_cell_length_a 6.361
_cell_length_b 6.361
_cell_length_c 6.361
_cell_angle_alpha 90.00
_cell_angle_beta 90.00
_cell_angle_gamma 90.00
_symmetry_space_group_name_H-M 'P 1'
_symmetry_Int_Tables_number 1
_symmetry_space_group_name_Hall 'P 1'
loop_
_atom_site_label
_atom_site_type_symbol
_atom_site_fract_x
_atom_site_fract_y
_atom_site_fract_z
Sb1 Sb 0.500 0.000 0.000
Sb2 Sb 0.000 0.500 0.000
Sb3 Sb 0.000 0.000 0.500
Sb4 Sb 0.500 0.500 0.500
Nd1 Nd 0.000 0.000 0.000
Pm1 Pm 0.000 0.500 0.500
Pm2 Pm 0.500 0.000 0.500
Pm3 Pm 0.500 0.500 0.000
```

Properties
- energy (eV for the cell shown) = -45.054
- Fermi-level density of states (states/eV/cell) = 0.49
- raw formation energy (eV/atom) = -1.193
- V (Å³ per atom) = 32.17

Record 7
A relaxed PmNd3Sb3 crystal. Source: Alexandria via LeMat-Bulk, functional GGA-PBE.

```
data_PmNd3Sb3
_cell_length_a 7.854
_cell_length_b 7.854
_cell_length_c 8.346
_cell_angle_alpha 87.75
_cell_angle_beta 87.75
_cell_angle_gamma 111.82
_symmetry_space_group_name_H-M 'P 1'
_symmetry_Int_Tables_number 1
_symmetry_space_group_name_Hall 'P 1'
loop_
_atom_site_label
_atom_site_type_symbol
_atom_site_fract_x
_atom_site_fract_y
_atom_site_fract_z
Pm1 Pm 0.729 0.729 0.924
Pm2 Pm 0.271 0.271 0.076
Nd1 Nd 0.631 0.631 0.388
Nd2 Nd 0.162 0.838 0.500
Nd3 Nd 0.838 0.162 0.500
Nd4 Nd 0.222 0.778 0.000
Nd5 Nd 0.778 0.222 0.000
Nd6 Nd 0.369 0.369 0.612
Sb1 Sb 0.944 0.944 0.218
Sb2 Sb 0.814 0.485 0.689
Sb3 Sb 0.485 0.814 0.689
Sb4 Sb 0.186 0.515 0.311
Sb5 Sb 0.515 0.186 0.311
Sb6 Sb 0.056 0.056 0.782
```

Properties
- energy (eV for the cell shown) = -73.594
- Fermi-level density of states (states/eV/cell) = 11.79
- raw formation energy (eV/atom) = -0.768
- V (Å³ per atom) = 34.06

Record 8
A relaxed PmNdSm2Sb4 crystal. Source: Alexandria via LeMat-Bulk, functional GGA-PBE.

```
data_PmNdSm2Sb4
_cell_length_a 4.492
_cell_length_b 7.776
_cell_length_c 7.776
_cell_angle_alpha 70.53
_cell_angle_beta 90.00
_cell_angle_gamma 90.00
_symmetry_space_group_name_H-M 'P 1'
_symmetry_Int_Tables_number 1
_symmetry_space_group_name_Hall 'P 1'
loop_
_atom_site_label
_atom_site_type_symbol
_atom_site_fract_x
_atom_site_fract_y
_atom_site_fract_z
Pm1 Pm 0.000 0.500 0.500
Nd1 Nd 0.500 0.500 0.000
Sm1 Sm 0.000 0.000 0.000
Sm2 Sm 0.500 0.000 0.500
Sb1 Sb 0.000 0.753 0.748
Sb2 Sb 0.000 0.247 0.252
Sb3 Sb 0.500 0.752 0.250
Sb4 Sb 0.500 0.248 0.750
```

Properties
- energy (eV for the cell shown) = -44.906
- Fermi-level density of states (states/eV/cell) = 1.03
- raw formation energy (eV/atom) = -1.182
- V (Å³ per atom) = 32.01

Record 9
A relaxed PmNdSbTe crystal. Source: Alexandria via LeMat-Bulk, functional GGA-PBE.

```
data_PmNdSbTe
_cell_length_a 4.494
_cell_length_b 4.494
_cell_length_c 7.820
_cell_angle_alpha 73.30
_cell_angle_beta 73.30
_cell_angle_gamma 60.00
_symmetry_space_group_name_H-M 'P 1'
_symmetry_Int_Tables_number 1
_symmetry_space_group_name_Hall 'P 1'
loop_
_atom_site_label
_atom_site_type_symbol
_atom_site_fract_x
_atom_site_fract_y
_atom_site_fract_z
Pm1 Pm 0.448 0.448 0.657
Nd1 Nd 0.941 0.941 0.178
Sb1 Sb 0.193 0.193 0.420
Te1 Te 0.695 0.695 0.915
```

Properties
- energy (eV for the cell shown) = -22.163
- Fermi-level density of states (states/eV/cell) = 1.69
- raw formation energy (eV/atom) = -1.345
- V (Å³ per atom) = 32.26

Record 10
A relaxed PmNdSbTe crystal. Source: Alexandria via LeMat-Bulk, functional GGA-PBE.

```
data_PmNdSbTe
_cell_length_a 5.496
_cell_length_b 5.496
_cell_length_c 5.496
_cell_angle_alpha 60.00
_cell_angle_beta 60.00
_cell_angle_gamma 60.00
_symmetry_space_group_name_H-M 'P 1'
_symmetry_Int_Tables_number 1
_symmetry_space_group_name_Hall 'P 1'
loop_
_atom_site_label
_atom_site_type_symbol
_atom_site_fract_x
_atom_site_fract_y
_atom_site_fract_z
Sb1 Sb 0.750 0.750 0.750
Te1 Te 0.250 0.250 0.250
Nd1 Nd 0.000 0.000 0.000
Pm1 Pm 0.500 0.500 0.500
```

Properties
- energy (eV for the cell shown) = -21.164
- Fermi-level density of states (states/eV/cell) = 3.73
- raw formation energy (eV/atom) = -1.095
- V (Å³ per atom) = 29.34

Q: energy of number 2 (PmNd3Sb2)?
A: -32.264 eV for the cell shown

Q: Which of these has the lowest V?
A: number 10

Please write out number 8 again, unchanged.
A relaxed PmNdSm2Sb4 crystal. Source: Alexandria via LeMat-Bulk, functional GGA-PBE.

```
data_PmNdSm2Sb4
_cell_length_a 4.492
_cell_length_b 7.776
_cell_length_c 7.776
_cell_angle_alpha 70.53
_cell_angle_beta 90.00
_cell_angle_gamma 90.00
_symmetry_space_group_name_H-M 'P 1'
_symmetry_Int_Tables_number 1
_symmetry_space_group_name_Hall 'P 1'
loop_
_atom_site_label
_atom_site_type_symbol
_atom_site_fract_x
_atom_site_fract_y
_atom_site_fract_z
Pm1 Pm 0.000 0.500 0.500
Nd1 Nd 0.500 0.500 0.000
Sm1 Sm 0.000 0.000 0.000
Sm2 Sm 0.500 0.000 0.500
Sb1 Sb 0.000 0.753 0.748
Sb2 Sb 0.000 0.247 0.252
Sb3 Sb 0.500 0.752 0.250
Sb4 Sb 0.500 0.248 0.750
```

Properties
- energy (eV for the cell shown) = -44.906
- Fermi-level density of states (states/eV/cell) = 1.03
- raw formation energy (eV/atom) = -1.182
- V (Å³ per atom) = 32.01